# Ta2TeIr PBE relaxed
# D(E_F): 5.46 states/eV per cell
# Raw formation energy: 0.1120 eV/atom
# VASP energy: -70.5 eV for the cell shown
data_Ta2TeIr
_chemical_formula_sum 'Ta4 Te2 Ir2'
_cell_length_a 9.812
_cell_length_b 3.186
_cell_length_c 4.750
_cell_angle_alpha 90.00
_cell_angle_beta 100.36
_cell_angle_gamma 90.00
_symmetry_space_group_name_H-M 'C 1 2/m 1'
_symmetry_Int_Tables_number 12
loop_
_symmetry_equiv_pos_as_xyz
'x,y,z'
'-x,-y,-z'
'-x,y,-z'
'x,-y,z'
'x+1/2,y+1/2,z'
'-x+1/2,-y+1/2,-z'
'-x+1/2,y+1/2,-z'
'x+1/2,-y+1/2,z'
loop_
_atom_site_label
_atom_site_type_symbol
_atom_site_fract_x
_atom_site_fract_y
_atom_site_fract_z
Ta1 Ta 0.244 0.000 0.229
Te1 Te 0.000 0.000 0.500
Ir1 Ir 0.000 0.500 0.000

# TaTe2Ir PBE relaxed
# D(E_F): 5.08 states/eV per cell
# Raw formation energy: 0.3635 eV/atom
# VASP energy: -51.1 eV for the cell shown
data_TaTe2Ir
_chemical_formula_sum 'Ta2 Te4 Ir2'
_cell_length_a 8.947
_cell_length_b 3.317
_cell_length_c 5.582
_cell_angle_alpha 90.00
_cell_angle_beta 97.58
_cell_angle_gamma 90.00
_symmetry_space_group_name_H-M 'C 1 2/m 1'
_symmetry_Int_Tables_number 12
loop_
_symmetry_equiv_pos_as_xyz
'x,y,z'
'-x,-y,-z'
'-x,y,-z'
'x,-y,z'
'x+1/2,y+1/2,z'
'-x+1/2,-y+1/2,-z'
'-x+1/2,y+1/2,-z'
'x+1/2,-y+1/2,z'
loop_
_atom_site_label
_atom_site_type_symbol
_atom_site_fract_x
_atom_site_fract_y
_atom_site_fract_z
Ta1 Ta 0.000 0.000 0.000
Te1 Te 0.225 0.500 0.239
Ir1 Ir 0.000 0.500 0.500

# Ta2TeIr PBE relaxed
# D(E_F): 10.17 states/eV per cell
# Raw formation energy: 0.6221 eV/atom
# VASP energy: -132.9 eV for the cell shown
data_Ta2TeIr
_chemical_formula_sum 'Ta8 Te4 Ir4'
_cell_length_a 5.813
_cell_length_b 5.813
_cell_length_c 12.962
_cell_angle_alpha 90.00
_cell_angle_beta 90.00
_cell_angle_gamma 90.00
_symmetry_space_group_name_H-M 'I -4 2 d'
_symmetry_Int_Tables_number 122
_symmetry_space_group_name_Hall 'I -4 2bw'
loop_
_atom_site_label
_atom_site_type_symbol
_atom_site_fract_x
_atom_site_fract_y
_atom_site_fract_z
Ta1 Ta 0.201 0.250 0.125
Te1 Te 0.000 0.000 0.500
Ir1 Ir 0.000 0.000 0.000

# YTaTeIr2 PBE relaxed
# D(E_F): 7.22 states/eV per cell
# Raw formation energy: 1.8444 eV/atom
# VASP energy: -30.0 eV for the cell shown
data_YTaTeIr2
_chemical_formula_sum 'Y1 Ta1 Te1 Ir2'
_cell_length_a 4.895
_cell_length_b 4.895
_cell_length_c 5.374
_cell_angle_alpha 90.00
_cell_angle_beta 90.00
_cell_angle_gamma 90.00
_symmetry_space_group_name_H-M 'P 4/m m m'
_symmetry_Int_Tables_number 123
_symmetry_space_group_name_Hall '-P 4 2'
loop_
_atom_site_label
_atom_site_type_symbol
_atom_site_fract_x
_atom_site_fract_y
_atom_site_fract_z
Y1 Y 0.000 0.000 0.000
Ta1 Ta 0.500 0.500 0.500
Te1 Te 0.000 0.000 0.500
Ir1 Ir 0.000 0.500 0.000

# TaZnTe2Ir PBE relaxed
# D(E_F): 3.69 states/eV per cell
# Raw formation energy: 0.9626 eV/atom
# VASP energy: -23.5 eV for the cell shown
data_TaZnTe2Ir
_chemical_formula_sum 'Ta1 Zn1 Te2 Ir1'
_cell_length_a 5.224
_cell_length_b 5.224
_cell_length_c 4.608
_cell_angle_alpha 90.00
_cell_angle_beta 90.00
_cell_angle_gamma 90.00
_symmetry_space_group_name_H-M 'P 4/m m m'
_symmetry_Int_Tables_number 123
_symmetry_space_group_name_Hall '-P 4 2'
loop_
_atom_site_label
_atom_site_type_symbol
_atom_site_fract_x
_atom_site_fract_y
_atom_site_fract_z
Ta1 Ta 0.000 0.000 0.000
Zn1 Zn 0.500 0.500 0.000
Te1 Te 0.000 0.500 0.500
Ir1 Ir 0.500 0.500 0.500

# Zr2TaTeIr PBE relaxed
# D(E_F): 6.21 states/eV per cell
# Raw formation energy: 1.1579 eV/atom
# VASP energy: -35.2 eV for the cell shown
data_Zr2TaTeIr
_chemical_formula_sum 'Zr2 Ta1 Te1 Ir1'
_cell_length_a 5.174
_cell_length_b 5.174
_cell_length_c 4.741
_cell_angle_alpha 90.00
_cell_angle_beta 90.00
_cell_angle_gamma 90.00
_symmetry_space_group_name_H-M 'P 4/m m m'
_symmetry_Int_Tables_number 123
_symmetry_space_group_name_Hall '-P 4 2'
loop_
_atom_site_label
_atom_site_type_symbol
_atom_site_fract_x
_atom_site_fract_y
_atom_site_fract_z
Zr1 Zr 0.000 0.500 0.000
Ta1 Ta 0.000 0.000 0.500
Te1 Te 0.500 0.500 0.000
Ir1 Ir 0.500 0.500 0.500

# ThTa2Ir2 PBE relaxed
# D(E_F): 5.84 states/eV per cell
# VASP energy: -103.6 eV for the cell shown
# Formation enthalpy at 0 K: -589 meV/atom
data_ThTa2Ir2
_chemical_formula_sum 'Th2 Ta4 Ir4'
_cell_length_a 4.457
_cell_length_b 4.457
_cell_length_c 10.697
_cell_angle_alpha 90.00
_cell_angle_beta 90.00
_cell_angle_gamma 90.00
_symmetry_space_group_name_H-M 'I 4/m m m'
_symmetry_Int_Tables_number 139
_symmetry_space_group_name_Hall '-I 4 2'
loop_
_atom_site_label
_atom_site_type_symbol
_atom_site_fract_x
_atom_site_fract_y
_atom_site_fract_z
Th1 Th 0.000 0.000 0.000
Ta1 Ta 0.000 0.500 0.250
Ir1 Ir 0.000 0.000 0.374

# ThTaTiIr2 PBE relaxed
# D(E_F): 7.52 states/eV per cell
# VASP energy: -97.0 eV for the cell shown
# Formation enthalpy at 0 K: -720 meV/atom
data_ThTaTiIr2
_chemical_formula_sum 'Th2 Ta2 Ti2 Ir4'
_cell_length_a 4.366
_cell_length_b 4.366
_cell_length_c 10.781
_cell_angle_alpha 90.00
_cell_angle_beta 90.00
_cell_angle_gamma 90.00
_symmetry_space_group_name_H-M 'I -4 m 2'
_symmetry_Int_Tables_number 119
_symmetry_space_group_name_Hall 'I -4 -2'
loop_
_atom_site_label
_atom_site_type_symbol
_atom_site_fract_x
_atom_site_fract_y
_atom_site_fract_z
Th1 Th 0.000 0.000 0.000
Ta1 Ta 0.000 0.500 0.250
Ti1 Ti 0.000 0.500 0.750
Ir1 Ir 0.000 0.000 0.377

# TaTi6Ir5 PBE relaxed
# D(E_F): 11.03 states/eV per cell
# VASP energy: -225.1 eV for the cell shown
# Formation enthalpy at 0 K: -752 meV/atom
data_TaTi6Ir5
_chemical_formula_sum 'Ta2 Ti12 Ir10'
_cell_length_a 4.359
_cell_length_b 13.065
_cell_length_c 6.455
_cell_angle_alpha 90.00
_cell_angle_beta 90.00
_cell_angle_gamma 90.00
_symmetry_space_group_name_H-M 'C m m m'
_symmetry_Int_Tables_number 65
_symmetry_space_group_name_Hall '-C 2 2'
loop_
_atom_site_label
_atom_site_type_symbol
_atom_site_fract_x
_atom_site_fract_y
_atom_site_fract_z
Ta1 Ta 0.000 0.000 0.000
Ti1 Ti 0.000 0.167 0.248
Ti2 Ti 0.000 0.500 0.250
Ir1 Ir 0.000 0.000 0.500
Ir2 Ir 0.000 0.331 0.000
Ir3 Ir 0.000 0.333 0.500

# Ta2TiIr2 PBE relaxed
# D(E_F): 9.14 states/eV per cell
# VASP energy: -101.9 eV for the cell shown
# Formation enthalpy at 0 K: -329 meV/atom
data_Ta2TiIr2
_chemical_formula_sum 'Ta4 Ti2 Ir4'
_cell_length_a 7.726
_cell_length_b 7.726
_cell_length_c 2.901
_cell_angle_alpha 90.00
_cell_angle_beta 90.00
_cell_angle_gamma 90.00
_symmetry_space_group_name_H-M 'P 4/m b m'
_symmetry_Int_Tables_number 127
_symmetry_space_group_name_Hall '-P 4 2ab'
loop_
_atom_site_label
_atom_site_type_symbol
_atom_site_fract_x
_atom_site_fract_y
_atom_site_fract_z
Ta1 Ta 0.156 0.344 0.000
Ti1 Ti 0.000 0.000 0.000
Ir1 Ir 0.141 0.641 0.500

# TaTi2Ir2 PBE relaxed
# D(E_F): 9.97 states/eV per cell
# VASP energy: -96.0 eV for the cell shown
# Formation enthalpy at 0 K: -532 meV/atom
data_TaTi2Ir2
_chemical_formula_sum 'Ta2 Ti4 Ir4'
_cell_length_a 7.423
_cell_length_b 7.423
_cell_length_c 2.954
_cell_angle_alpha 90.00
_cell_angle_beta 90.00
_cell_angle_gamma 90.00
_symmetry_space_group_name_H-M 'P 4/m b m'
_symmetry_Int_Tables_number 127
_symmetry_space_group_name_Hall '-P 4 2ab'
loop_
_atom_site_label
_atom_site_type_symbol
_atom_site_fract_x
_atom_site_fract_y
_atom_site_fract_z
Ta1 Ta 0.000 0.000 0.000
Ti1 Ti 0.162 0.338 0.500
Ir1 Ir 0.136 0.636 0.000

# TaTi2Ir PBE relaxed
# D(E_F): 3.78 states/eV per cell
# VASP energy: -38.5 eV for the cell shown
# Formation enthalpy at 0 K: -489 meV/atom
data_TaTi2Ir
_chemical_formula_sum 'Ta1 Ti2 Ir1'
_cell_length_a 3.115
_cell_length_b 3.115
_cell_length_c 6.665
_cell_angle_alpha 90.00
_cell_angle_beta 90.00
_cell_angle_gamma 90.00
_symmetry_space_group_name_H-M 'P 4/m m m'
_symmetry_Int_Tables_number 123
_symmetry_space_group_name_Hall '-P 4 2'
loop_
_atom_site_label
_atom_site_type_symbol
_atom_site_fract_x
_atom_site_fract_y
_atom_site_fract_z
Ta1 Ta 0.000 0.000 0.000
Ti1 Ti 0.500 0.500 0.263
Ir1 Ir 0.000 0.000 0.500